1.
Below is an optimized crystal structure of LiTiSiIr, with properties calculated at the PBE level.

POSCAR file:
```
LiTiSiIr
1.0
-1.394 -3.993 0.189
1.353 -2.850 -2.822
2.616 -3.100 1.210
Ti Si Ir Li
1 1 1 1
direct
0.500 0.500 0.500
0.000 0.000 0.000
0.250 0.250 0.250
0.750 0.750 0.750
```

* uncorrected formation energy: -835 meV/atom
* size of the total moment: 0.0 μB per cell

=====

2.
Below is an optimized crystal structure of AcPmC3N6, with properties calculated at the PBE level.

POSCAR file:
```
AcPmC3N6
1.0
6.211 -1.327 1.335
-1.289 6.219 -1.335
1.289 -1.297 6.227
C Ac N Pm
3 1 6 1
direct
0.524 0.803 0.978
0.978 0.476 0.197
0.197 0.022 0.524
0.417 0.583 0.417
0.860 0.593 0.213
0.182 0.902 0.637
0.637 0.818 0.098
0.098 0.363 0.182
0.213 0.140 0.407
0.407 0.787 0.860
0.058 0.942 0.058
```

* uncorrected formation energy: -738 meV/atom
* size of the total moment: 0.0 μB per cell

=====

3.
Below is an optimized crystal structure of SrLiCd3In, with properties calculated at the PBE level.

POSCAR file:
```
SrLiCd3In
1.0
6.597 0.000 0.000
0.000 6.783 0.000
0.000 -3.391 6.839
Li Cd Sr In
2 6 2 2
direct
0.750 0.068 0.136
0.250 0.932 0.864
0.750 0.867 0.734
0.000 0.718 0.000
0.500 0.718 0.000
0.250 0.133 0.266
0.000 0.282 0.000
0.500 0.282 0.000
0.750 0.293 0.586
0.250 0.707 0.414
0.750 0.651 0.301
0.250 0.349 0.699
```

* formation energy: -207.0 meV/atom
* size of the total moment: 0.0 μB per cell